[1]
Compound: Rb2TlTcI8
Source: Alexandria
Functional: GGA-PBE
Structure: relaxed

Cell lengths 7.4724, 8.8484, 9.6374 Å; angles 89.99, 89.78, 71.49 degrees
Element x y z (fractional)
1 Rb 0.0002 0.9999 0.2483
2 Rb 0.9998 0.0001 0.7517
3 Tl 0.0000 0.5000 0.0000
4 Tc 0.0000 0.5000 0.5000
5 I 0.2204 0.5719 0.2970
6 I 0.2204 0.5721 0.7016
7 I 0.2405 0.1896 0.4995
8 I 0.2972 0.1567 0.9995
9 I 0.7028 0.8433 0.0005
10 I 0.7595 0.8104 0.5005
11 I 0.7796 0.4279 0.2984
12 I 0.7796 0.4281 0.7030

Space group ... P-1 (2)

[2]
Compound: Rb2ZnTcI6
Source: Alexandria
Functional: GGA-PBE
Structure: relaxed

Cell lengths 8.2587, 8.2587, 8.2587 Å; angles 120.20, 120.20, 89.65 degrees
Element x y z (fractional)
1 Rb 0.2500 0.7500 0.5000
2 Rb 0.7500 0.2500 0.5000
3 Zn 0.0000 0.0000 0.0000
4 Tc 0.5000 0.5000 0.0000
5 I 0.2594 0.2594 0.5189
6 I 0.2594 0.7406 0.0000
7 I 0.2614 0.2614 0.0000
8 I 0.7386 0.7386 0.0000
9 I 0.7406 0.2594 0.0000
10 I 0.7406 0.7406 0.4811

Space group ... I4/mmm (139)

[3]
Compound: Rb12Te5I3
Source: Alexandria
Functional: GGA-PBE
Structure: relaxed

Cell lengths 18.7598, 18.7598, 18.7598 Å; angles 109.47, 109.47, 109.47 degrees
Element x y z (fractional)
1 Rb 0.0403 0.2145 0.1192
2 Rb 0.0403 0.3258 0.9211
3 Rb 0.0789 0.6192 0.4047
4 Rb 0.0789 0.9597 0.6742
5 Rb 0.0953 0.7145 0.6742
6 Rb 0.0953 0.8808 0.4211
7 Rb 0.1192 0.0403 0.2145
8 Rb 0.1192 0.5789 0.9047
9 Rb 0.1742 0.2145 0.5953
10 Rb 0.1742 0.4597 0.5789
11 Rb 0.2145 0.1192 0.0403
12 Rb 0.2145 0.5953 0.1742
13 Rb 0.2855 0.3258 0.9047
14 Rb 0.2855 0.4597 0.3808
15 Rb 0.3258 0.9047 0.2855
16 Rb 0.3258 0.9211 0.0403
17 Rb 0.3808 0.2855 0.4597
18 Rb 0.3808 0.5953 0.9211
19 Rb 0.4047 0.0789 0.6192
20 Rb 0.4047 0.8258 0.7855
21 Rb 0.4211 0.0953 0.8808
22 Rb 0.4211 0.8258 0.5403
23 Rb 0.4597 0.3808 0.2855
24 Rb 0.4597 0.5789 0.1742
25 Rb 0.5403 0.4211 0.8258
26 Rb 0.5403 0.6192 0.7145
27 Rb 0.5789 0.1742 0.4597
28 Rb 0.5789 0.9047 0.1192
29 Rb 0.5953 0.1742 0.2145
30 Rb 0.5953 0.9211 0.3808
31 Rb 0.6192 0.4047 0.0789
32 Rb 0.6192 0.7145 0.5403
33 Rb 0.6742 0.0789 0.9597
34 Rb 0.6742 0.0953 0.7145
35 Rb 0.7145 0.5403 0.6192
36 Rb 0.7145 0.6742 0.0953
37 Rb 0.7855 0.4047 0.8258
38 Rb 0.7855 0.8808 0.9597
39 Rb 0.8258 0.5403 0.4211
40 Rb 0.8258 0.7855 0.4047
41 Rb 0.8808 0.4211 0.0953
42 Rb 0.8808 0.9597 0.7855
43 Rb 0.9047 0.1192 0.5789
44 Rb 0.9047 0.2855 0.3258
45 Rb 0.9211 0.0403 0.3258
46 Rb 0.9211 0.3808 0.5953
47 Rb 0.9597 0.6742 0.0789
48 Rb 0.9597 0.7855 0.8808
49 Te 0.0000 0.0000 0.0000
50 Te 0.0000 0.0000 0.5000
51 Te 0.0000 0.5000 0.0000
52 Te 0.0000 0.5000 0.5000
53 Te 0.1250 0.7500 0.8750
54 Te 0.1250 0.8750 0.2500
55 Te 0.2500 0.1250 0.8750
56 Te 0.2500 0.6250 0.3750
57 Te 0.3750 0.2500 0.6250
58 Te 0.3750 0.6250 0.7500
59 Te 0.5000 0.0000 0.0000
60 Te 0.5000 0.0000 0.5000
61 Te 0.5000 0.5000 0.0000
62 Te 0.5000 0.5000 0.5000
63 Te 0.6250 0.3750 0.2500
64 Te 0.6250 0.7500 0.3750
65 Te 0.7500 0.3750 0.6250
66 Te 0.7500 0.8750 0.1250
67 Te 0.8750 0.1250 0.7500
68 Te 0.8750 0.2500 0.1250
69 I 0.1250 0.2500 0.3750
70 I 0.1250 0.3750 0.7500
71 I 0.2500 0.3750 0.1250
72 I 0.2500 0.8750 0.6250
73 I 0.3750 0.1250 0.2500
74 I 0.3750 0.7500 0.1250
75 I 0.6250 0.2500 0.8750
76 I 0.6250 0.8750 0.7500
77 I 0.7500 0.1250 0.3750
78 I 0.7500 0.6250 0.8750
79 I 0.8750 0.6250 0.2500
80 I 0.8750 0.7500 0.6250

Space group ... Ia-3d (230)

[4]
Compound: RbTeI3
Source: Alexandria
Functional: GGA-PBE
Structure: relaxed

Cell lengths 6.2114, 6.2114, 6.2114 Å; angles 90.00, 90.00, 90.00 degrees
Element x y z (fractional)
1 Rb 0.0000 0.0000 0.0000
2 Te 0.5000 0.5000 0.5000
3 I 0.0000 0.5000 0.5000
4 I 0.5000 0.0000 0.5000
5 I 0.5000 0.5000 0.0000

Space group ... Pm-3m (221)
Distance to the lowest polymorph of the same formula ... 0.46 kcal/mol of atoms

[5]
Compound: RbTeI3
Source: Alexandria
Functional: GGA-PBE
Structure: relaxed

Cell lengths 7.1439, 7.1439, 7.1439 Å; angles 107.79, 107.79, 107.79 degrees
Element x y z (fractional)
1 Rb 0.0000 0.0000 0.0000
2 Te 0.4893 0.4893 0.4893
3 I 0.1717 0.6056 0.6056
4 I 0.6056 0.1717 0.6056
5 I 0.6056 0.6056 0.1717

Space group ... R3m (160)
Distance to the lowest polymorph of the same formula ... 3.75 kcal/mol of atoms

[6]
Compound: RbTeI3
Source: Alexandria
Functional: GGA-PBE
Structure: relaxed

Cell lengths 7.1804, 7.1875, 10.5308 Å; angles 82.76, 82.66, 84.80 degrees
Element x y z (fractional)
1 Rb 0.0000 0.0000 0.0000
2 Rb 0.4962 0.5062 0.0017
3 Te 0.8168 0.3221 0.5315
4 Te 0.9395 0.4445 0.2658
5 I 0.0069 0.5103 0.9588
6 I 0.1468 0.2012 0.6431
7 I 0.2072 0.7137 0.2924
8 I 0.5097 0.0135 0.8306
9 I 0.6500 0.1545 0.2654
10 I 0.6957 0.6515 0.6441

Space group ... P1 (1)
Distance to the lowest polymorph of the same formula ... 0.53 kcal/mol of atoms

[7]
Compound: RbTe2I
Source: Alexandria
Functional: GGA-PBE
Structure: relaxed

Cell lengths 11.4661, 11.4661, 11.4661 Å; angles 20.86, 20.86, 20.86 degrees
Element x y z (fractional)
1 Rb 0.0000 0.0000 0.0000
2 Te 0.4144 0.4144 0.4144
3 Te 0.5856 0.5856 0.5856
4 I 0.5000 0.5000 0.5000

Space group ... R-3m (166)
Distance to the lowest polymorph of the same formula ... 0.70 kcal/mol of atoms

[8]
Compound: RbTeI3
Source: Alexandria
Functional: GGA-PBE
Structure: relaxed

Cell lengths 10.5871, 10.5871, 9.9533 Å; angles 101.41, 101.41, 100.22 degrees
Element x y z (fractional)
1 Rb 0.0685 0.9315 0.7500
2 Rb 0.3727 0.6273 0.2500
3 Rb 0.6273 0.3727 0.7500
4 Rb 0.9315 0.0685 0.2500
5 Te 0.1048 0.4977 0.6221
6 Te 0.4977 0.1048 0.1221
7 Te 0.5023 0.8952 0.8779
8 Te 0.8952 0.5023 0.3779
9 I 0.0025 0.3775 0.1499
10 I 0.0500 0.7669 0.3038
11 I 0.2331 0.9500 0.1962
12 I 0.2895 0.3749 0.4767
13 I 0.3749 0.2895 0.9767
14 I 0.3775 0.0025 0.6499
15 I 0.6225 0.9975 0.3501
16 I 0.6251 0.7105 0.0233
17 I 0.7105 0.6251 0.5233
18 I 0.7669 0.0500 0.8038
19 I 0.9500 0.2331 0.6962
20 I 0.9975 0.6225 0.8501

Space group ... C2/c (15)
Distance to the lowest polymorph of the same formula ... 1.66 kcal/mol of atoms

[9]
Compound: RbTeI3
Source: Alexandria
Functional: GGA-PBE
Structure: relaxed

Cell lengths 4.3315, 7.4561, 7.4561 Å; angles 80.97, 90.00, 90.00 degrees
Element x y z (fractional)
1 Rb 0.0000 0.0000 0.0000
2 Te 0.5000 0.6930 0.6930
3 I 0.0000 0.4776 0.4776
4 I 0.5000 0.0116 0.4080
5 I 0.5000 0.4080 0.0116

Space group ... Amm2 (38)
Distance to the lowest polymorph of the same formula ... 6.20 kcal/mol of atoms

[10]
Compound: RbTe2I
Source: Alexandria
Functional: GGA-PBE
Structure: relaxed

Cell lengths 10.1423, 10.1423, 10.1423 Å; angles 138.02, 138.02, 60.87 degrees
Element x y z (fractional)
1 Rb 0.0000 0.0000 0.0000
2 Rb 0.7500 0.2500 0.5000
3 Te 0.2395 0.6250 0.1145
4 Te 0.3750 0.4895 0.6145
5 Te 0.5105 0.1250 0.8855
6 Te 0.8750 0.7605 0.3855
7 I 0.2500 0.7500 0.5000
8 I 0.5000 0.5000 0.0000

Space group ... I-42d (122)
Distance to the lowest polymorph of the same formula ... 0.00 kcal/mol of atoms

[11]
Compound: Rb2TeI4
Source: Alexandria
Functional: GGA-PBE
Structure: relaxed

Cell lengths 10.0000, 10.0000, 10.0000 Å; angles 142.45, 142.45, 54.15 degrees
Element x y z (fractional)
1 Rb 0.1257 0.1257 0.0000
2 Rb 0.8743 0.8743 0.0000
3 Te 0.5000 0.5000 0.0000
4 I 0.0000 0.5000 0.5000
5 I 0.3328 0.3328 0.0000
6 I 0.5000 0.0000 0.5000
7 I 0.6672 0.6672 0.0000

Space group ... I4/mmm (139)
Distance to the lowest polymorph of the same formula ... 1.82 kcal/mol of atoms

[12]
Compound: Rb2TeI5
Source: Alexandria
Functional: GGA-PBE
Structure: relaxed

Cell lengths 14.1127, 10.3980, 10.2629 Å; angles 90.00, 90.00, 90.00 degrees
Element x y z (fractional)
1 Rb 0.1658 0.0067 0.0947
2 Rb 0.1658 0.4933 0.0947
3 Rb 0.3342 0.5067 0.5947
4 Rb 0.3342 0.9933 0.5947
5 Rb 0.6658 0.0067 0.4053
6 Rb 0.6658 0.4933 0.4053
7 Rb 0.8342 0.5067 0.9053
8 Rb 0.8342 0.9933 0.9053
9 Te 0.0167 0.2500 0.5477
10 Te 0.4833 0.7500 0.0477
11 Te 0.5167 0.2500 0.9523
12 Te 0.9833 0.7500 0.4523
13 I 0.0139 0.7500 0.9550
14 I 0.0540 0.5009 0.6754
15 I 0.0540 0.9991 0.6754
16 I 0.1881 0.7500 0.3617
17 I 0.2004 0.2500 0.4111
18 I 0.2996 0.7500 0.9111
19 I 0.3119 0.2500 0.8617
20 I 0.4460 0.0009 0.1754
21 I 0.4460 0.4991 0.1754
22 I 0.4861 0.2500 0.4550
23 I 0.5139 0.7500 0.5450
24 I 0.5540 0.5009 0.8246
25 I 0.5540 0.9991 0.8246
26 I 0.6881 0.7500 0.1383
27 I 0.7004 0.2500 0.0889
28 I 0.7996 0.7500 0.5889
29 I 0.8119 0.2500 0.6383
30 I 0.9460 0.0009 0.3246
31 I 0.9460 0.4991 0.3246
32 I 0.9861 0.2500 0.0450

Space group ... Pnma (62)
Distance to the lowest polymorph of the same formula ... 0.00 kcal/mol of atoms

[13]
Compound: Rb2TeI6
Source: Alexandria
Functional: GGA-PBE
Structure: relaxed

Cell lengths 8.1754, 8.1754, 12.5122 Å; angles 90.00, 90.00, 90.00 degrees
Element x y z (fractional)
1 Rb 0.0000 0.5000 0.2500
2 Rb 0.0000 0.5000 0.7500
3 Rb 0.5000 0.0000 0.2500
4 Rb 0.5000 0.0000 0.7500
5 Te 0.0000 0.0000 0.0000
6 Te 0.5000 0.5000 0.5000
7 I 0.0000 0.0000 0.2382
8 I 0.0000 0.0000 0.7618
9 I 0.1978 0.2972 0.5000
10 I 0.2028 0.3022 0.0000
11 I 0.2972 0.8022 0.5000
12 I 0.3022 0.7972 0.0000
13 I 0.5000 0.5000 0.2618
14 I 0.5000 0.5000 0.7382
15 I 0.6978 0.2028 0.0000
16 I 0.7028 0.1978 0.5000
17 I 0.7972 0.6978 0.0000
18 I 0.8022 0.7028 0.5000

Space group ... P4/mnc (128)

[14]
Compound: RbTe2I
Source: Alexandria
Functional: GGA-PBE
Structure: relaxed

Cell lengths 5.9688, 5.9688, 5.9688 Å; angles 60.00, 60.00, 60.00 degrees
Element x y z (fractional)
1 Rb 0.0000 0.0000 0.0000
2 Te 0.2500 0.2500 0.2500
3 Te 0.7500 0.7500 0.7500
4 I 0.5000 0.5000 0.5000

Space group ... Fm-3m (225)
Distance to the lowest polymorph of the same formula ... 4.51 kcal/mol of atoms

[15]
Compound: RbTe3I
Source: Alexandria
Functional: GGA-PBE
Structure: relaxed

Cell lengths 6.9852, 6.9852, 6.9852 Å; angles 90.00, 90.00, 90.00 degrees
Element x y z (fractional)
1 Rb 0.0000 0.0000 0.0000
2 Te 0.0000 0.0000 0.5000
3 Te 0.0000 0.5000 0.0000
4 Te 0.5000 0.0000 0.0000
5 I 0.5000 0.5000 0.5000

Space group ... Pm-3m (221)
Distance to the lowest polymorph of the same formula ... 16.63 kcal/mol of atoms

[16]
Compound: Rb6TeI4
Source: Alexandria
Functional: GGA-PBE
Structure: relaxed

Cell lengths 10.6599, 10.6599, 10.6599 Å; angles 90.48, 90.48, 90.48 degrees
Element x y z (fractional)
1 Rb 0.0505 0.9300 0.6915
2 Rb 0.0700 0.3085 0.9495
3 Rb 0.1915 0.4300 0.5505
4 Rb 0.3085 0.9495 0.0700
5 Rb 0.4300 0.5505 0.1915
6 Rb 0.4495 0.8085 0.5700
7 Rb 0.5505 0.1915 0.4300
8 Rb 0.5700 0.4495 0.8085
9 Rb 0.6915 0.0505 0.9300
10 Rb 0.8085 0.5700 0.4495
11 Rb 0.9300 0.6915 0.0505
12 Rb 0.9495 0.0700 0.3085
13 Te 0.0000 0.0000 0.0000
14 Te 0.5000 0.5000 0.5000
15 I 0.1074 0.7500 0.3926
16 I 0.2500 0.2500 0.2500
17 I 0.2500 0.6074 0.8926
18 I 0.3926 0.1074 0.7500
19 I 0.6074 0.8926 0.2500
20 I 0.7500 0.3926 0.1074
21 I 0.7500 0.7500 0.7500
22 I 0.8926 0.2500 0.6074

Space group ... R-3c (167)

[17]
Compound: Rb2Te2I7
Source: Alexandria
Functional: GGA-PBE
Structure: relaxed

Cell lengths 8.9170, 8.9170, 8.3447 Å; angles 92.97, 92.97, 97.30 degrees
Element x y z (fractional)
1 Rb 0.2087 0.7913 0.0000
2 Rb 0.7913 0.2087 0.0000
3 Te 0.2490 0.2490 0.5400
4 Te 0.7510 0.7510 0.4600
5 I 0.0867 0.4238 0.7854
6 I 0.2022 0.2022 0.1953
7 I 0.4238 0.0867 0.7854
8 I 0.5000 0.5000 0.5000
9 I 0.5762 0.9133 0.2146
10 I 0.7978 0.7978 0.8047
11 I 0.9133 0.5762 0.2146

Space group ... C2/m (12)

[18]
Compound: RbTeI3
Source: Alexandria
Functional: GGA-PBE
Structure: relaxed

Cell lengths 11.2600, 8.1691, 12.1409 Å; angles 90.00, 122.57, 90.00 degrees
Element x y z (fractional)
1 Rb 0.1574 0.2501 0.0810
2 Rb 0.1574 0.2499 0.5810
3 Rb 0.8426 0.7501 0.4190
4 Rb 0.8426 0.7499 0.9190
5 Te 0.3077 0.7124 0.4016
6 Te 0.3077 0.7876 0.9016
7 Te 0.6923 0.2124 0.0984
8 Te 0.6923 0.2875 0.5984
9 I 0.0211 0.5525 0.2577
10 I 0.0211 0.9475 0.7577
11 I 0.2914 0.7483 0.6436
12 I 0.2914 0.7517 0.1436
13 I 0.3902 0.2273 0.4472
14 I 0.3902 0.2727 0.9472
15 I 0.6098 0.7273 0.0528
16 I 0.6098 0.7727 0.5528
17 I 0.7086 0.2483 0.8564
18 I 0.7086 0.2517 0.3564
19 I 0.9789 0.0525 0.2423
20 I 0.9789 0.4475 0.7423

Space group ... P2_1/c (14)
Distance to the lowest polymorph of the same formula ... 0.89 kcal/mol of atoms

| no. | formation energy from raw total energies (kJ per mole of atoms) | total energy (eV per atom) |
| --- | --- | --- |
| 1 | -57.2 | -2.848 |
| 2 | -56.2 | -2.870 |
| 3 | -92.0 | -2.552 |
| 4 | -60.5 | -2.379 |
| 5 | -46.7 | -2.236 |
| 6 | -60.2 | -2.376 |
| 7 | -3.3 | -2.234 |
| 8 | -55.5 | -2.327 |
| 9 | -36.5 | -2.130 |
| 10 | -6.2 | -2.264 |
| 11 | -79.8 | -2.438 |
| 12 | -72.8 | -2.358 |
| 13 | -73.4 | -2.358 |
| 14 | 12.7 | -2.069 |
| 15 | 80.2 | -1.558 |
| 16 | -123.8 | -2.660 |
| 17 | -47.5 | -2.226 |
| 18 | -58.7 | -2.361 |